# 1
{
  "formula": "ZnCdNiMo",
  "functional": "PBE-GGA",
  "state": "relaxed",
  "final_energy_ev_per_cell": -16.9,
  "formation_energy_ev_per_atom": 0.431,
  "space_group": "No. 216",
  "lattice": [[0.0000, 3.1325, 3.1325], [3.1325, 0.0000, 3.1325], [3.1325, 3.1325, 0.0000]],
  "species": ["Ni", "Zn", "Cd", "Mo"],
  "fractional_positions": [[0.7500, 0.7500, 0.7500], [0.0000, 0.0000, 0.0000], [0.5000, 0.5000, 0.5000], [0.2500, 0.2500, 0.2500]]
}

# 2
{
  "formula": "SrAlIr",
  "functional": "PBE-GGA",
  "state": "relaxed",
  "final_energy_ev_per_cell": -11.6,
  "space_group": "No. 216",
  "lattice": [[0.0000, 3.4218, 3.4218], [3.4218, 0.0000, 3.4218], [3.4218, 3.4218, 0.0000]],
  "species": ["Ir", "Al", "Sr"],
  "fractional_positions": [[0.7500, 0.7500, 0.7500], [0.2500, 0.2500, 0.2500], [0.0000, 0.0000, 0.0000]]
}